(1)
DFT (PBE) results for Ac2MgZn3Au12 after structural relaxation.

Output
total magnetization: 0.000 μB/f.u.
ρ: 11.57 g/cm³
volume: 436 Å³/cell
space-group type: R-3m
energy of formation from the pure elements: -3.448 eV/f.u.

Cell lengths 8.422, 8.422, 8.422 Å; angles 61.44, 61.44, 61.44 degrees
Fractional positions:
Au 0.885 0.362 0.362
Au 0.377 0.872 0.872
Mg 0.000 0.000 0.000
Au 0.638 0.638 0.115
Au 0.128 0.128 0.623
Zn 0.000 0.500 0.000
Au 0.362 0.885 0.362
Au 0.362 0.362 0.885
Au 0.128 0.623 0.128
Zn 0.000 0.000 0.500
Au 0.872 0.377 0.872
Au 0.623 0.128 0.128
Au 0.115 0.638 0.638
Ac 0.385 0.385 0.385
Au 0.872 0.872 0.377
Au 0.638 0.115 0.638
Zn 0.500 0.000 0.000
Ac 0.615 0.615 0.615


(2)
DFT (PBE) results for RbCaCl3 after structural relaxation.

Output
formation energy (no corrections): -11.25 eV per formula unit
total magnetization: 0.000 μB/f.u.
ρ: 2.47 g/cm³
volume: 312 Å³/cell
space-group type: Pmc2_1

Cell lengths 5.483, 7.545, 7.541 Å; angles 90.00, 89.99, 89.99 degrees
Fractional positions:
Cl 0.573 0.725 0.228
Cl 0.573 0.224 0.112
Rb 0.073 0.415 0.918
Ca 0.573 0.417 0.420
Cl 0.073 0.917 0.920
Cl 0.073 0.417 0.420
Rb 0.073 0.916 0.422
Ca 0.573 0.917 0.921
Cl 0.573 0.611 0.727
Cl 0.573 0.111 0.614


(3)
DFT (PBE) results for ReSiPt after structural relaxation.

Output
formation energy (no corrections): -0.32 eV per formula unit
total magnetization: 0.000 μB/f.u.
ρ: 15.85 g/cm³
volume: 43 Å³/cell
space-group type: I4mm
offset from the most stable computed form: 0.034 eV/atom

Cell lengths 5.289, 5.289, 5.289 Å; angles 147.36, 147.36, 46.83 degrees
Fractional positions:
Re 0.312 0.312 0.000
Si 0.672 0.672 0.000
Pt 0.015 0.015 0.000


(4)
DFT (PBE) results for Ba2LaRh after structural relaxation.

Output
total magnetization: 0.000 μB/f.u.
ρ: 6.39 g/cm³
volume: 134 Å³/cell
space-group type: Cmmm
offset from the most stable computed form: 0.670 eV/atom
energy of formation from the pure elements: 1.345 eV/f.u.

Cell lengths 6.331, 6.331, 3.835 Å; angles 90.00, 90.00, 119.25 degrees
Fractional positions:
Ba 0.000 0.500 0.000
La 0.500 0.500 0.500
Rh 0.000 0.000 0.500
Ba 0.500 0.000 0.000


(5)
DFT (PBE) results for Li3Sm2YS6 after structural relaxation.

Output
formation energy (no corrections): -21.84 eV per formula unit
total magnetization: 0.000 μB/f.u.
ρ: 3.93 g/cm³
volume: 255 Å³/cell
space-group type: C2/m

Cell lengths 6.888, 6.888, 6.606 Å; angles 99.98, 99.98, 120.02 degrees
Fractional positions:
S 0.084 0.412 0.254
S 0.412 0.084 0.254
Li 0.163 0.837 0.500
Sm 0.333 0.667 0.000
Li 0.837 0.163 0.500
S 0.756 0.756 0.253
S 0.916 0.588 0.746
S 0.244 0.244 0.747
S 0.588 0.916 0.746
Y 0.000 0.000 0.000
Sm 0.667 0.333 0.000
Li 0.500 0.500 0.500


(6)
DFT (PBE) results for IrPb2Au after structural relaxation.

Output
total magnetization: 0.000 μB/f.u.
ρ: 14.36 g/cm³
volume: 93 Å³/cell
space-group type: P2/m
offset from the most stable computed form: 0.081 eV/atom
energy of formation from the pure elements: 1.074 eV/f.u.

Cell lengths 3.528, 3.156, 8.357 Å; angles 87.10, 90.00, 90.00 degrees
Fractional positions:
Ir 0.500 0.750 0.750
Pb 0.000 0.281 0.540
Pb 0.000 0.219 0.960
Au 0.500 0.250 0.250


(7)
DFT (PBE) results for LuTiS2 after structural relaxation.

Output
formation energy (no corrections): -6.14 eV per formula unit
total magnetization: 0.000 μB/f.u.
ρ: 6.83 g/cm³
volume: 70 Å³/cell
space-group type: R-3m

Cell lengths 3.688, 3.688, 6.294 Å; angles 72.97, 72.97, 60.00 degrees
Fractional positions:
S 0.256 0.256 0.233
S 0.744 0.744 0.767
Ti 0.000 0.000 0.000
Lu 0.500 0.500 0.500


(8)
DFT (PBE) results for Rb3YIr after structural relaxation.

Output
total magnetization: 1.584 μB/f.u.
ρ: 3.45 g/cm³
volume: 259 Å³/cell
space-group type: Pm-3m
energy of formation from the pure elements: 6.013 eV/f.u.

Cell lengths 6.371, 6.371, 6.371 Å; angles 90.00, 90.00, 90.00 degrees
Fractional positions:
Ir 0.000 0.000 0.000
Rb 0.000 0.000 0.500
Rb 0.500 0.000 0.000
Y 0.500 0.500 0.500
Rb 0.000 0.500 0.000